! Ac3Zn8Pd (PBE-GGA, relaxed); values from VASP
&SYSTEM
  ibrav = 0, nat = 12, ntyp = 3
/
ATOMIC_SPECIES
Ac 227.00 Ac.upf
Zn 65.41 Zn.upf
Pd 106.42 Pd.upf
CELL_PARAMETERS angstrom
5.7560 0.0000 0.0000
-2.8780 4.9849 0.0000
0.0000 0.0000 8.9902
ATOMIC_POSITIONS crystal
Ac 0.0000 0.0000 0.0000
Ac 0.0000 0.0000 0.3992
Ac 0.3333 0.6667 0.8521
Zn 0.0126 0.5063 0.2012
Zn 0.3536 0.1768 0.6873
Zn 0.4937 0.5063 0.2012
Zn 0.4937 0.9874 0.2012
Zn 0.6667 0.3333 0.4398
Zn 0.6667 0.3333 0.9537
Zn 0.8232 0.1768 0.6873
Zn 0.8232 0.6464 0.6873
Pd 0.3333 0.6667 0.4875
! Total magnetization = 0.00 μB per formula unit
! Space-group type = P3m1 (156)
! Formation enthalpy at 0 K = -0.223 eV/atom

=====

! PrSm2 (PBE-GGA, relaxed); values from VASP
&SYSTEM
  ibrav = 0, nat = 6, ntyp = 2
/
ATOMIC_SPECIES
Pr 140.91 Pr.upf
Sm 150.36 Sm.upf
CELL_PARAMETERS angstrom
5.7985 -2.5836 0.0000
5.7985 2.5836 0.0000
-2.3268 0.0000 6.9376
ATOMIC_POSITIONS crystal
Pr 0.1668 0.1668 0.0847
Pr 0.8332 0.8332 0.9153
Sm 0.1661 0.1661 0.5821
Sm 0.4994 0.4994 0.7477
Sm 0.5006 0.5006 0.2523
Sm 0.8339 0.8339 0.4179
! Total magnetization = 0.00 μB per formula unit
! Space-group type = C2/m (12)
! Formation enthalpy at 0 K = 0.015 eV/atom
! Energy above the lowest structure with this stoichiometry = 6 meV/atom

=====

! Tb3ErNi (PBE-GGA, relaxed); values from VASP
&SYSTEM
  ibrav = 0, nat = 5, ntyp = 3
/
ATOMIC_SPECIES
Tb 158.93 Tb.upf
Er 167.26 Er.upf
Ni 58.69 Ni.upf
CELL_PARAMETERS angstrom
5.3176 0.0000 0.0000
0.0000 5.3176 0.0000
0.0000 0.0000 5.3176
ATOMIC_POSITIONS crystal
Tb 0.0000 0.0000 0.5000
Tb 0.0000 0.5000 0.0000
Tb 0.5000 0.0000 0.0000
Er 0.5000 0.5000 0.5000
Ni 0.0000 0.0000 0.0000
! Total magnetization = 0.00 μB per formula unit
! Space-group type = Pm-3m (221)
! Formation enthalpy at 0 K = -0.003 eV/atom
! Energy above the lowest structure with this stoichiometry = 168 meV/atom

=====

! ReHg2Mo (PBE-GGA, relaxed); values from VASP
&SYSTEM
  ibrav = 0, nat = 4, ntyp = 3
/
ATOMIC_SPECIES
Re 186.21 Re.upf
Hg 200.59 Hg.upf
Mo 95.94 Mo.upf
CELL_PARAMETERS angstrom
1.4807 0.8549 9.9243
-1.4807 0.8549 9.9243
0.0000 -1.7098 9.9243
ATOMIC_POSITIONS crystal
Re 0.0000 0.0000 0.0000
Hg 0.2481 0.2481 0.2481
Hg 0.4840 0.4840 0.4840
Mo 0.7321 0.7321 0.7321
! Total magnetization = 0.00 μB per formula unit
! Space-group type = R3m (160)
! Formation enthalpy at 0 K = 0.438 eV/atom
! Energy above the lowest structure with this stoichiometry = 24 meV/atom

=====

! Ba4Br5O (PBE-GGA, relaxed); values from VASP
&SYSTEM
  ibrav = 0, nat = 10, ntyp = 3
/
ATOMIC_SPECIES
Ba 137.33 Ba.upf
Br 79.90 Br.upf
O 16.00 O.upf
CELL_PARAMETERS angstrom
9.9548 -2.2867 0.0000
9.9548 2.2867 0.0000
-2.4954 0.0000 8.2807
ATOMIC_POSITIONS crystal
Ba 0.0016 0.0016 0.2824
Ba 0.3467 0.3467 0.3902
Ba 0.6533 0.6533 0.6098
Ba 0.9984 0.9984 0.7176
Br 0.1645 0.1645 0.8734
Br 0.1712 0.1712 0.3525
Br 0.5000 0.5000 0.0000
Br 0.8288 0.8288 0.6475
Br 0.8355 0.8355 0.1266
O 0.5000 0.5000 0.5000
! Total magnetization = 0.82 μB per formula unit
! Space-group type = C2/m (12)
! Uncorrected formation energy = -2.0062 eV/atom

=====

! BePRh2 (PBE-GGA, relaxed); values from VASP
&SYSTEM
  ibrav = 0, nat = 4, ntyp = 3
/
ATOMIC_SPECIES
Be 9.01 Be.upf
P 30.97 P.upf
Rh 102.91 Rh.upf
CELL_PARAMETERS angstrom
3.9452 0.0000 0.0000
0.0000 3.9452 0.0000
0.0000 0.0000 3.0753
ATOMIC_POSITIONS crystal
Be 0.0000 0.0000 0.0000
P 0.5000 0.5000 0.0000
Rh 0.0000 0.5000 0.5000
Rh 0.5000 0.0000 0.5000
! Total magnetization = 0.00 μB per formula unit
! Space-group type = P4/mmm (123)
! Formation enthalpy at 0 K = -0.484 eV/atom
! Energy above the lowest structure with this stoichiometry = 82 meV/atom

=====

! ScSi2Ni3 (PBE-GGA, relaxed); values from VASP
&SYSTEM
  ibrav = 0, nat = 12, ntyp = 3
/
ATOMIC_SPECIES
Sc 44.96 Sc.upf
Si 28.09 Si.upf
Ni 58.69 Ni.upf
CELL_PARAMETERS angstrom
4.5852 0.0000 0.0000
-2.2926 3.9709 0.0000
0.0000 0.0000 9.9270
ATOMIC_POSITIONS crystal
Sc 0.0000 0.0000 0.0000
Sc 0.0000 0.0000 0.5000
Si 0.3333 0.6667 0.1325
Si 0.3333 0.6667 0.3675
Si 0.6667 0.3333 0.6325
Si 0.6667 0.3333 0.8675
Ni 0.1680 0.3359 0.7500
Ni 0.1680 0.8320 0.7500
Ni 0.3359 0.1680 0.2500
Ni 0.6641 0.8320 0.7500
Ni 0.8320 0.1680 0.2500
Ni 0.8320 0.6641 0.2500
! Total magnetization = 0.00 μB per formula unit
! Space-group type = P6_3/mmc (194)
! Uncorrected formation energy = -0.1669 eV/atom

=====

! ThMg2Sc6 (PBE-GGA, relaxed); values from VASP
&SYSTEM
  ibrav = 0, nat = 18, ntyp = 3
/
ATOMIC_SPECIES
Th 232.04 Th.upf
Mg 24.30 Mg.upf
Sc 44.96 Sc.upf
CELL_PARAMETERS angstrom
6.1014 -5.6223 0.0000
6.1014 5.6223 0.0000
-4.9671 0.0000 6.5841
ATOMIC_POSITIONS crystal
Th 0.1783 0.8217 0.7500
Th 0.8217 0.1783 0.2500
Mg 0.2483 0.3961 0.5867
Mg 0.3961 0.2483 0.0867
Mg 0.6039 0.7517 0.9133
Mg 0.7517 0.6039 0.4133
Sc 0.0255 0.1943 0.6962
Sc 0.0539 0.3886 0.1423
Sc 0.1943 0.0255 0.1962
Sc 0.3400 0.5985 0.0413
Sc 0.3886 0.0539 0.6423
Sc 0.4015 0.6600 0.4587
Sc 0.5985 0.3400 0.5413
Sc 0.6114 0.9461 0.3577
Sc 0.6600 0.4015 0.9587
Sc 0.8057 0.9745 0.8038
Sc 0.9461 0.6114 0.8577
Sc 0.9745 0.8057 0.3038
! Total magnetization = 0.00 μB per formula unit
! Space-group type = C2/c (15)
! Formation enthalpy at 0 K = 0.090 eV/atom

=====

In eV/atom, the E_tot values for the records above are, in order, -2.53, -4.72, -4.85, -5.53, -4.11, -6.44, -5.92, -5.31.